# PBE Th8Co3Te4C, relaxed
# * formation energy from raw total energies: -0.719 eV per atom
# * DOS at the Fermi energy: 0.803 states/eV/atom
# * SG: R-3m (166)
data_Th8Co3Te4C
_chemical_formula_sum 'Th8 Co3 Te4 C1'
_space_group_name_H-M_alt 'P 1'
_space_group_IT_number 1
_cell_length_a 8.127
_cell_length_b 8.897
_cell_length_c 8.131
_cell_angle_alpha 117.19
_cell_angle_beta 119.99
_cell_angle_gamma 90.00
loop_
_space_group_symop_operation_xyz
'x,y,z'
loop_
_atom_site_label
_atom_site_type_symbol
_atom_site_fract_x
_atom_site_fract_y
_atom_site_fract_z
Th1 Th 0.773 0.307 0.545
Th2 Th 0.269 0.307 0.538
Th3 Th 0.262 0.307 0.035
Th4 Th 0.731 0.693 0.462
Th5 Th 0.227 0.693 0.455
Th6 Th 0.773 0.307 0.035
Th7 Th 0.738 0.693 0.965
Th8 Th 0.227 0.693 0.965
Te1 Te 0.500 0.000 0.500
Te2 Te 0.500 0.000 0.000
Te3 Te 0.000 0.000 0.000
Te4 Te 0.000 0.000 0.500
C1 C 0.000 0.500 0.000
Co1 Co 0.500 0.500 0.500
Co2 Co 0.000 0.500 0.500
Co3 Co 0.500 0.500 0.000